Density functional theory data (GGA-PBE) for an optimized crystal structure of Dy2ErTm12.

POSCAR file:
```
Dy2ErTm12
1.0
3.533 -5.507 0.000
3.533 5.507 0.000
-1.752 0.000 23.604
Dy Er Tm
4 2 24
Direct
0.070 0.070 0.281
0.430 0.430 0.719
0.570 0.570 0.281
0.930 0.930 0.719
0.250 0.250 0.000
0.750 0.750 0.000
0.033 0.033 0.136
0.047 0.547 0.192
0.082 0.582 0.330
0.139 0.639 0.555
0.145 0.145 0.577
0.233 0.734 0.934
0.266 0.767 0.066
0.356 0.356 0.423
0.361 0.861 0.445
0.418 0.918 0.670
0.453 0.953 0.808
0.467 0.467 0.865
0.533 0.533 0.135
0.547 0.047 0.192
0.582 0.082 0.330
0.639 0.139 0.555
0.644 0.644 0.577
0.734 0.233 0.934
0.767 0.266 0.066
0.855 0.855 0.423
0.861 0.361 0.445
0.918 0.418 0.670
0.953 0.453 0.808
0.967 0.967 0.864
```

GGA-PBE Ru5Pt3, optimized geometry; distance to the lowest polymorph of the same formula = 21.9 kJ/mol of formula units
1.0
7.733 0.000 0.000
0.000 7.780 0.000
0.000 0.000 3.861
Ru Pt
10 6
Direct
0.000 0.000 0.000
0.000 0.247 0.500
0.000 0.753 0.500
0.250 0.250 0.000
0.250 0.750 0.000
0.500 0.253 0.500
0.500 0.500 0.000
0.500 0.747 0.500
0.750 0.250 0.000
0.750 0.750 0.000
0.000 0.500 0.000
0.244 0.000 0.500
0.256 0.500 0.500
0.500 0.000 0.000
0.744 0.500 0.500
0.756 0.000 0.500

GGA-PBE BiSbH2, optimized geometry; distance to the lowest polymorph of the same formula = 184.6 kJ/mol of formula units
1.0
6.093 0.000 0.000
0.000 6.093 0.000
0.000 0.000 8.403
Bi Sb H
4 4 8
Direct
0.000 0.000 0.000
0.000 0.500 0.250
0.500 0.000 0.750
0.500 0.500 0.500
0.000 0.000 0.500
0.000 0.500 0.750
0.500 0.000 0.250
0.500 0.500 0.000
0.060 0.250 0.625
0.250 0.560 0.875
0.250 0.940 0.375
0.440 0.250 0.125
0.560 0.750 0.125
0.750 0.060 0.375
0.750 0.440 0.875
0.940 0.750 0.625

GGA-PBE Pu2ZnBi, optimized geometry; distance to the lowest polymorph of the same formula = 12.8 kJ/mol of formula units
1.0
4.065 0.000 0.000
0.000 4.065 0.000
0.000 0.000 6.191
Pu Zn Bi
2 1 1
Direct
0.000 0.000 0.242
0.000 0.000 0.758
0.500 0.500 0.000
0.500 0.500 0.500

| no. | E_tot (eV per atom) |
| --- | --- |
| 1 | -4.38 |
| 2 | -8.02 |
| 3 | -3.14 |
| 4 | -8.63 |